Below is an optimized crystal structure of LuMnB4, with properties calculated at the PBE level.

Lattice parameters (Å, degrees): 4.2942 4.2942 4.2942 60.00 60.00 60.00
Positions (direct):
B  0.6073  0.6073  0.1780
B  0.6073  0.1780  0.6073
B  0.6073  0.6073  0.6073
B  0.1780  0.6073  0.6073
Lu  0.2500  0.2500  0.2500
Mn  0.0000  0.0000  0.0000

**ΔE_f**: 402 meV per atom
**Calculated total energy**: -6.33 eV/atom
**V**: 9.332 Å³/atom
**Size of the total moment**: 0.8 μB per cell



Below is an optimized crystal structure of LuMnB2, with properties calculated at the PBE level.

Lattice parameters (Å, degrees): 3.4648 3.4648 4.9705 69.60 69.60 60.00
Positions (direct):
B  0.7012  0.7012  0.8965
B  0.2988  0.2988  0.1035
Lu  0.5000  0.5000  0.5000
Mn  0.0000  0.0000  0.0000

**ΔE_f**: -220 meV per atom
**Calculated total energy**: -6.98 eV/atom
**V**: 11.826 Å³/atom
**Size of the total moment**: 0.0 μB per cell



Below is an optimized crystal structure of LuB3N3, with properties calculated at the PBE level.

Lattice parameters (Å, degrees): 4.7729 4.7729 4.7729 90.00 90.00 90.00
Positions (direct):
Lu  0.5000  0.5000  0.5000
Lu  0.0000  0.0000  0.0000
B  0.2500  0.0000  0.5000
B  0.0000  0.5000  0.2500
B  0.5000  0.7500  0.0000
B  0.7500  0.0000  0.5000
B  0.0000  0.5000  0.7500
B  0.5000  0.2500  0.0000
N  0.0000  0.2500  0.5000
N  0.0000  0.7500  0.5000
N  0.5000  0.0000  0.7500
N  0.7500  0.5000  0.0000
N  0.5000  0.0000  0.2500
N  0.2500  0.5000  0.0000

**Calculated total energy**: -6.81 eV/atom
**V**: 7.767 Å³/atom
**Size of the total moment**: 0.0 μB per cell



Below is an optimized crystal structure of Na2Lu2B2TeO10, with properties calculated at the PBE level.

Lattice parameters (Å, degrees): 9.8713 6.2975 6.6924 76.83 90.00 90.00
Positions (direct):
Na  0.6124  0.4178  0.1709
Na  0.1124  0.5822  0.3291
Na  0.3876  0.5822  0.8291
Na  0.8876  0.4178  0.6709
Lu  0.8350  0.8734  0.0229
Lu  0.3350  0.1266  0.4771
Lu  0.1650  0.1266  0.9771
Lu  0.6650  0.8734  0.5229
B  0.4004  0.6620  0.3715
B  0.9004  0.3380  0.1285
B  0.5996  0.3380  0.6285
B  0.0996  0.6620  0.8715
Te  0.5000  0.0000  0.0000
Te  0.0000  0.0000  0.5000
O  0.8314  0.5250  0.0520
O  0.3314  0.4750  0.4480
O  0.1686  0.4750  0.9480
O  0.6686  0.5250  0.5520
O  0.6533  0.0004  0.1808
O  0.1533  0.9996  0.3192
O  0.3467  0.9996  0.8192
O  0.8467  0.0004  0.6808
O  0.4352  0.7069  0.1596
O  0.9352  0.2931  0.3404
O  0.5648  0.2931  0.8404
O  0.0648  0.7069  0.6596
O  0.9380  0.1939  0.0111
O  0.4380  0.8061  0.4889
O  0.0620  0.8061  0.9889
O  0.5620  0.1939  0.5111
O  0.3820  0.1639  0.1387
O  0.8820  0.8361  0.3613
O  0.6180  0.8361  0.8613
O  0.1180  0.1639  0.6387

**Calculated total energy**: -7.04 eV/atom
**V**: 11.914 Å³/atom
**Size of the total moment**: 0.0 μB per cell